Record 1
First-principles (GGA-PBE) data for MgVSn4 after structural relaxation, as listed in the Alexandria database.

Summary:
The value obtained for the uncorrected energy is -4.473 eV/atom. Its space group is I4/mcm. The total magnetization is 4.6 μB per cell.

Unit cell a=7.6128 b=7.6128 c=7.6128 alpha=125.85 beta=125.85 gamma=80.13
Fractional coordinates of all 12 atoms:
Mg 0.0000 0.0000 0.0000
Mg 0.5000 0.5000 0.0000
V 0.2500 0.2500 0.0000
V 0.7500 0.7500 0.0000
Sn 0.0171 0.5171 0.8142
Sn 0.2028 0.0171 0.5000
Sn 0.2972 0.7972 0.8142
Sn 0.4829 0.2972 0.5000
Sn 0.5171 0.7028 0.5000
Sn 0.7028 0.2028 0.1858
Sn 0.7972 0.9829 0.5000
Sn 0.9829 0.4829 0.1858

Record 2
First-principles (GGA-PBE) data for MgVSn2 after structural relaxation, as listed in the Alexandria database.

Summary:
The value obtained for the uncorrected energy is -4.571 eV/atom. Its space group is P4/mmm. The total magnetization is 1.2 μB per cell.

Unit cell a=3.5941 b=3.5941 c=6.3913 alpha=90.00 beta=90.00 gamma=90.00
Fractional coordinates of all 4 atoms:
Mg 0.0000 0.0000 0.0000
V 0.0000 0.0000 0.5000
Sn 0.5000 0.5000 0.2696
Sn 0.5000 0.5000 0.7304

Record 3
First-principles (GGA-PBE) data for MgVSn2 after structural relaxation, as listed in the Alexandria database.

Summary:
The value obtained for the uncorrected energy is -4.292 eV/atom. Its space group is I-42d. The total magnetization is 9.3 μB per cell.

Unit cell a=7.8142 b=7.8142 c=6.1387 alpha=90.00 beta=90.00 gamma=90.00
Fractional coordinates of all 16 atoms:
Mg 0.0000 0.0000 0.0000
Mg 0.0000 0.5000 0.2500
Mg 0.5000 0.0000 0.7500
Mg 0.5000 0.5000 0.5000
V 0.0000 0.0000 0.5000
V 0.0000 0.5000 0.7500
V 0.5000 0.0000 0.2500
V 0.5000 0.5000 0.0000
Sn 0.2329 0.2500 0.6250
Sn 0.2500 0.7329 0.8750
Sn 0.2500 0.7671 0.3750
Sn 0.2671 0.2500 0.1250
Sn 0.7329 0.7500 0.1250
Sn 0.7500 0.2329 0.3750
Sn 0.7500 0.2671 0.8750
Sn 0.7671 0.7500 0.6250

Record 4
First-principles (GGA-PBE) data for MgVSn2 after structural relaxation, as listed in the Alexandria database.

Summary:
The value obtained for the uncorrected energy is -4.477 eV/atom. Its space group is R-3m. The total magnetization is 4.7 μB per cell.

Unit cell a=3.2416 b=3.2416 c=30.2599 alpha=90.00 beta=90.00 gamma=120.00
Fractional coordinates of all 12 atoms:
Mg 0.0000 0.0000 0.0000
Mg 0.3333 0.6667 0.6667
Mg 0.6667 0.3333 0.3333
V 0.0000 0.0000 0.5000
V 0.3333 0.6667 0.1667
V 0.6667 0.3333 0.8333
Sn 0.0000 0.0000 0.0966
Sn 0.0000 0.0000 0.9034
Sn 0.3333 0.6667 0.5701
Sn 0.3333 0.6667 0.7633
Sn 0.6667 0.3333 0.2367
Sn 0.6667 0.3333 0.4299

Record 5
First-principles (GGA-PBE) data for Mg3VSn after structural relaxation, as listed in the Alexandria database.

Summary:
The value obtained for the uncorrected energy is -2.703 eV/atom. Its space group is Pm-3m. The total magnetization is 4.3 μB per cell.

Unit cell a=5.3332 b=5.3332 c=5.3332 alpha=90.00 beta=90.00 gamma=90.00
Fractional coordinates of all 5 atoms:
Mg 0.0000 0.0000 0.5000
Mg 0.0000 0.5000 0.0000
Mg 0.5000 0.0000 0.0000
V 0.5000 0.5000 0.5000
Sn 0.0000 0.0000 0.0000

Record 6
First-principles (GGA-PBE) data for MgV2Sn after structural relaxation, as listed in the Alexandria database.

Summary:
The value obtained for the uncorrected energy is -5.297 eV/atom. Its space group is I-42d. The total magnetization is 0.0 μB per cell.

Unit cell a=7.3359 b=7.3359 c=5.4859 alpha=90.00 beta=90.00 gamma=90.00
Fractional coordinates of all 16 atoms:
Mg 0.0000 0.0000 0.0000
Mg 0.0000 0.5000 0.2500
Mg 0.5000 0.0000 0.7500
Mg 0.5000 0.5000 0.5000
V 0.2454 0.7500 0.6250
V 0.2500 0.2454 0.3750
V 0.2500 0.2546 0.8750
V 0.2546 0.7500 0.1250
V 0.7454 0.2500 0.1250
V 0.7500 0.7454 0.8750
V 0.7500 0.7546 0.3750
V 0.7546 0.2500 0.6250
Sn 0.0000 0.0000 0.5000
Sn 0.0000 0.5000 0.7500
Sn 0.5000 0.0000 0.2500
Sn 0.5000 0.5000 0.0000

Record 7
First-principles (GGA-PBE) data for Mg6VSn after structural relaxation, as listed in the Alexandria database.

Summary:
The value obtained for the uncorrected energy is -2.762 eV/atom. Its space group is Amm2. The total magnetization is 6.4 μB per cell.

Unit cell a=5.0426 b=6.2961 c=10.8180 alpha=90.00 beta=90.00 gamma=90.00
Fractional coordinates of all 16 atoms:
Mg 0.0000 0.0000 0.0000
Mg 0.0000 0.2445 0.2527
Mg 0.0000 0.2555 0.7527
Mg 0.0000 0.5000 0.5000
Mg 0.0000 0.7445 0.7527
Mg 0.0000 0.7555 0.2527
Mg 0.5000 0.0000 0.8341
Mg 0.5000 0.2461 0.0876
Mg 0.5000 0.2539 0.5876
Mg 0.5000 0.5000 0.3341
Mg 0.5000 0.7461 0.5876
Mg 0.5000 0.7539 0.0876
V 0.5000 0.0000 0.3381
V 0.5000 0.5000 0.8381
Sn 0.0000 0.0000 0.4950
Sn 0.0000 0.5000 0.9950

Record 8
First-principles (GGA-PBE) data for MgV2Sn2 after structural relaxation, as listed in the Alexandria database.

Summary:
The value obtained for the uncorrected energy is -5.399 eV/atom. Its space group is P4/mbm. The total magnetization is 0.0 μB per cell.

Unit cell a=7.9592 b=7.9592 c=3.0656 alpha=90.00 beta=90.00 gamma=90.00
Fractional coordinates of all 10 atoms:
Mg 0.0000 0.0000 0.0000
Mg 0.5000 0.5000 0.0000
V 0.1093 0.3907 0.5000
V 0.3907 0.8907 0.5000
V 0.6093 0.1093 0.5000
V 0.8907 0.6093 0.5000
Sn 0.1789 0.6789 0.0000
Sn 0.3211 0.1789 0.0000
Sn 0.6789 0.8211 0.0000
Sn 0.8211 0.3211 0.0000

Record 9
First-principles (GGA-PBE) data for Mg2VSn after structural relaxation, as listed in the Alexandria database.

Summary:
The value obtained for the uncorrected energy is -3.523 eV/atom. Its space group is R-3m. The total magnetization is 8.7 μB per cell.

Unit cell a=3.0743 b=3.0743 c=33.2184 alpha=90.00 beta=90.00 gamma=120.00
Fractional coordinates of all 12 atoms:
Mg 0.0000 0.0000 0.0839
Mg 0.0000 0.0000 0.9161
Mg 0.3333 0.6667 0.5828
Mg 0.3333 0.6667 0.7506
Mg 0.6667 0.3333 0.2494
Mg 0.6667 0.3333 0.4172
V 0.0000 0.0000 0.0000
V 0.3333 0.6667 0.6667
V 0.6667 0.3333 0.3333
Sn 0.0000 0.0000 0.5000
Sn 0.3333 0.6667 0.1667
Sn 0.6667 0.3333 0.8333

Record 10
First-principles (GGA-PBE) data for MgV3Sn after structural relaxation, as listed in the Alexandria database.

Summary:
The value obtained for the uncorrected energy is -5.222 eV/atom. Its space group is Pm-3m. The total magnetization is 10.0 μB per cell.

Unit cell a=5.1183 b=5.1183 c=5.1183 alpha=90.00 beta=90.00 gamma=90.00
Fractional coordinates of all 5 atoms:
Mg 0.0000 0.0000 0.0000
V 0.0000 0.5000 0.5000
V 0.5000 0.0000 0.5000
V 0.5000 0.5000 0.0000
Sn 0.5000 0.5000 0.5000

Record 11
First-principles (GGA-PBE) data for Mg2SnW after structural relaxation, as listed in the Alexandria database.

Summary:
The value obtained for the uncorrected energy is -4.843 eV/atom. Its space group is Pm. The total magnetization is 0.0 μB per cell.

Unit cell a=6.0797 b=3.3764 c=8.0360 alpha=90.00 beta=90.21 gamma=90.00
Fractional coordinates of all 8 atoms:
Mg 0.0000 0.0000 0.0000
Mg 0.0192 0.0000 0.5153
Mg 0.2581 0.5000 0.2301
Mg 0.4996 0.0000 0.5205
Sn 0.7385 0.5000 0.2408
Sn 0.7623 0.5000 0.7640
W 0.2781 0.5000 0.7831
W 0.4718 0.0000 0.9664

Record 12
First-principles (GGA-PBE) data for Mg2SnW after structural relaxation, as listed in the Alexandria database.

Summary:
The value obtained for the uncorrected energy is -4.848 eV/atom. Its space group is Cm. The total magnetization is 0.0 μB per cell.

Unit cell a=14.1097 b=4.4870 c=5.6695 alpha=90.00 beta=108.30 gamma=90.00
Fractional coordinates of all 16 atoms:
Mg 0.0000 0.0000 0.0000
Mg 0.0576 0.5000 0.7156
Mg 0.2804 0.5000 0.9100
Mg 0.3507 0.5000 0.4619
Mg 0.5000 0.5000 0.0000
Mg 0.5576 0.0000 0.7156
Mg 0.7804 0.0000 0.9100
Mg 0.8507 0.0000 0.4619
Sn 0.1772 0.0000 0.5843
Sn 0.4198 0.0000 0.1998
Sn 0.6772 0.5000 0.5843
Sn 0.9198 0.5000 0.1998
W 0.1380 0.5000 0.2474
W 0.2043 0.0000 0.1047
W 0.6380 0.0000 0.2474
W 0.7043 0.5000 0.1047